First-principles (PBE+U) data for crystalline Ti2NiF at its relaxed geometry, as listed in Alexandria via LeMat-Bulk.

Values from the calculation:
- Fermi-level density of states (states/eV/atom) = 0.8184
- excess energy over the best structure of this formula in the dataset (eV/atom) = 0.000
- raw total energy (eV per cell) = -42.622
- space-group type = I-42d

Cell lengths 6.477, 6.477, 6.477 Å; angles 137.32, 137.32, 61.95 degrees
Element x y z (fractional)
Ti  0.084  0.625  0.959
Ti  0.375  0.334  0.459
Ti  0.666  0.125  0.041
Ti  0.875  0.916  0.541
Ni  0.250  0.750  0.500
Ni  0.500  0.500  0.000
F  0.000  0.000  0.000
F  0.750  0.250  0.500